1.
The following is a GGA-PBE calculation of a relaxed Ti7Zn2Rh2 crystal, from Alexandria.

Computed properties:
space-group type: No. 65
crystal system: orthorhombic

abc: 5.780 6.181 5.780
angles: 90.01 106.45 89.99
Last column: magnetic moment on the atom in μB.
Sites, in units of the cell vectors:
Ti  0.500  0.275  0.000  0.14
Ti  0.500  0.725  0.500  -0.24
Ti  0.000  0.000  0.000  -0.07
Ti  0.500  0.275  0.500  -0.24
Ti  0.000  0.725  0.500  0.14
Ti  0.500  0.725  0.000  0.14
Ti  0.000  0.275  0.500  0.14
Rh  0.283  0.000  0.717  -0.01
Rh  0.717  0.000  0.283  -0.01
Zn  0.830  0.500  0.830  0.00
Zn  0.170  0.500  0.170  0.00

2.
The following is a GGA-PBE calculation of a relaxed ThPaCu2 crystal, from Alexandria.

Computed properties:
space-group type: No. 225
crystal system: cubic

abc: 4.943 4.943 4.943
angles: 60.00 60.00 60.00
Sites, in units of the cell vectors:
Cu  0.750  0.750  0.750
Cu  0.250  0.250  0.250
Th  0.500  0.500  0.500
Pa  0.000  0.000  0.000

3.
The following is a GGA-PBE calculation of a relaxed TbHoTlOs crystal, from Alexandria.

Computed properties:
space-group type: No. 216
crystal system: cubic

abc: 5.065 5.065 5.065
angles: 60.00 60.00 60.00
Sites, in units of the cell vectors:
Tl  0.000  0.000  0.000
Tb  0.250  0.250  0.250
Os  0.500  0.500  0.500
Ho  0.750  0.750  0.750

no.,ΔH_f (0 K) (eV per formula unit),E_tot (eV for the cell shown)
1,0.45,-72.06
2,0.47,-24.64
3,-0.60,-23.41